Density functional theory data (PBE) for a relaxed ReP crystal.

As for the space group: Pmma, No. 51. The total energy is -8.704 eV per atom.

Cell: 4.9461 4.3386 6.2852 Å, 90.00 90.00 90.00°
Closest atoms and distances in Å follow each position.
Sites, in units of the cell vectors:
P: 0.7500 0.5000 0.1358  4 Re 2.34-2.60
P: 0.2500 0.0000 0.3499  3 Re 2.36-2.52
P: 0.7500 0.0000 0.6501  3 Re 2.36-2.52
P: 0.2500 0.5000 0.8642  4 Re 2.34-2.60
Re: 0.7500 0.0000 0.2740  5 P 2.34-2.52
Re: 0.0000 0.5000 0.5000  2 Re 2.47, 6 P 2.60-2.67
Re: 0.5000 0.5000 0.5000  2 Re 2.47, 6 P 2.60-2.67
Re: 0.2500 0.0000 0.7260  5 P 2.34-2.52

Density functional theory data (PBE) for a relaxed Tm3IO4 crystal.

As for the space group: P4/mmm, No. 123. The total energy is -7.520 eV per atom.

Cell: 3.8705 3.8705 9.0450 Å, 90.00 90.00 90.00°
Closest atoms and distances in Å follow each position.
Sites, in units of the cell vectors:
I: 0.0000 0.0000 0.5000  8 Tm 3.57, 8 O 3.72, 4 I 3.87
O: 0.5000 0.0000 0.1490  4 Tm 2.13-2.36
O: 0.0000 0.5000 0.1490  4 Tm 2.13-2.36
O: 0.5000 0.0000 0.8510  4 Tm 2.13-2.36
O: 0.0000 0.5000 0.8510  4 Tm 2.13-2.36
Tm: 0.0000 0.0000 0.0000  8 O 2.36
Tm: 0.5000 0.5000 0.2471  4 O 2.13
Tm: 0.5000 0.5000 0.7529  4 O 2.13

Density functional theory data (PBE) for a relaxed NbTcB4 crystal.

As for the space group: Immm, No. 71. The total energy is -8.227 eV per atom.

Cell: 4.5401 4.5401 4.5401 Å, 140.76 109.21 84.06°
Closest atoms and distances in Å follow each position.
Sites, in units of the cell vectors:
B: 0.5828 0.2515 0.3312  3 B 1.75-1.78
B: 0.0797 0.7485 0.3312  3 B 1.75-1.78
B: 0.9203 0.2515 0.6688  3 B 1.75-1.78
B: 0.4172 0.7485 0.6688  3 B 1.75-1.78
Nb: 0.0000 0.0000 0.0000  12 B 2.43
Tc: 0.5000 0.5000 0.0000  12 B 2.42-2.45

Density functional theory data (PBE) for a relaxed OsAuSO crystal.

As for the space group: P2_1, No. 4. The total energy is -5.777 eV per atom.

Cell: 5.0760 5.0849 9.9028 Å, 90.00 90.29 90.00°
Closest atoms and distances in Å follow each position.
Sites, in units of the cell vectors:
Au: 0.9993 0.3301 0.2396  2 S 2.40
Au: 0.3074 0.0815 0.4997  2 S 2.35
Au: 0.6926 0.5815 0.5003  2 S 2.35
Au: 0.0007 0.8301 0.7604  2 S 2.40
O: 0.2569 0.0808 0.0000  4 Os 2.18-2.22
O: 0.7431 0.5808 0.0000  4 Os 2.18-2.22
O: 0.7501 0.0811 0.0005  4 Os 2.19-2.21
O: 0.2499 0.5811 0.9995  4 Os 2.19-2.21
Os: 0.0012 0.8294 0.1271  4 O 2.19-2.22, 2 S 2.34
Os: 0.4983 0.3329 0.1286  4 O 2.18-2.21, 2 S 2.33
Os: 0.5017 0.8329 0.8714  4 O 2.18-2.21, 2 S 2.33
Os: 0.9988 0.3294 0.8729  4 O 2.19-2.22, 2 S 2.34
S: 0.3331 0.0003 0.2663  2 Os 2.33-2.34, 2 Au 2.35-2.40, 1 S 2.42
S: 0.6696 0.6638 0.2666  2 Os 2.33-2.34, 2 Au 2.35-2.40, 1 S 2.42
S: 0.3304 0.1638 0.7334  2 Os 2.33-2.34, 2 Au 2.35-2.40, 1 S 2.42
S: 0.6669 0.5003 0.7337  2 Os 2.33-2.34, 2 Au 2.35-2.40, 1 S 2.42

Density functional theory data (PBE) for a relaxed NdMgIn2 crystal.

As for the space group: P4/mmm, No. 123. The total energy is -3.381 eV per atom.

Cell: 4.7082 4.7082 4.6024 Å, 90.00 90.00 90.00°
Closest atoms and distances in Å follow each position.
Sites, in units of the cell vectors:
In: 0.5000 0.0000 0.0000  4 Mg 3.29, 4 Nd 3.29, 4 In 3.33
In: 0.0000 0.5000 0.0000  4 Mg 3.29, 4 Nd 3.29, 4 In 3.33
Mg: 0.5000 0.5000 0.5000  8 In 3.29, 4 Nd 3.33
Nd: 0.0000 0.0000 0.5000  8 In 3.29, 4 Mg 3.33

Density functional theory data (PBE) for a relaxed SmHgOs crystal.

As for the space group: F-43m, No. 216. As for the formation energy: 85.6 kJ/mol of atoms.

Cell: 4.8060 4.8060 4.8060 Å, 60.00 60.00 60.00°
Closest atoms and distances in Å follow each position.
Sites, in units of the cell vectors:
Hg: 0.2500 0.2500 0.2500  4 Sm 2.94
Os: 0.7500 0.7500 0.7500  4 Sm 2.94
Sm: 0.0000 0.0000 0.0000  4 Hg 2.94, 4 Os 2.94

Density functional theory data (PBE) for a relaxed ScAlPt crystal.

As for the space group: F-43m, No. 216. The total energy is -6.294 eV per atom.

Cell: 4.3999 4.3999 4.3999 Å, 60.00 60.00 60.00°
Closest atoms and distances in Å follow each position.
Sites, in units of the cell vectors:
Al: 0.2500 0.2500 0.2500  4 Pt 2.69
Pt: 0.0000 0.0000 0.0000  4 Al 2.69, 4 Sc 2.69
Sc: 0.7500 0.7500 0.7500  4 Pt 2.69

Density functional theory data (PBE) for a relaxed LiHfAgTe2Se crystal.

As for the space group: Cmcm, No. 63. The total energy is -4.741 eV per atom.

Cell: 7.3617 7.3617 10.5454 Å, 90.00 90.00 148.13°
Closest atoms and distances in Å follow each position.
Sites, in units of the cell vectors:
Ag: 0.4643 0.5357 0.2500  2 Se 2.63, 2 Te 2.71
Ag: 0.5357 0.4643 0.7500  2 Se 2.63, 2 Te 2.71
Hf: 0.0000 0.0000 0.0000  2 Se 2.89, 4 Te 2.92
Hf: 0.0000 0.0000 0.5000  2 Se 2.89, 4 Te 2.92
Li: 0.7434 0.2566 0.2500  2 Se 3.04, 6 Te 3.36-3.38
Li: 0.2566 0.7434 0.7500  2 Se 3.04, 6 Te 3.36-3.38
Se: 0.0834 0.9166 0.2500  2 Ag 2.63, 2 Hf 2.89
Se: 0.9166 0.0834 0.7500  2 Ag 2.63, 2 Hf 2.89
Te: 0.3541 0.6459 0.0402  1 Ag 2.71, 2 Hf 2.92
Te: 0.3541 0.6459 0.4598  1 Ag 2.71, 2 Hf 2.92
Te: 0.6459 0.3541 0.5402  1 Ag 2.71, 2 Hf 2.92
Te: 0.6459 0.3541 0.9598  1 Ag 2.71, 2 Hf 2.92

Density functional theory data (PBE) for a relaxed PaZn crystal.

As for the space group: Pmm2, No. 25. As for the formation energy: 5.4 kJ/mol of atoms.

Cell: 4.9470 6.7787 4.9164 Å, 90.00 90.00 90.00°
Closest atoms and distances in Å follow each position.
Sites, in units of the cell vectors:
Pa: 0.9201 0.0000 0.0000  4 Pa 2.99, 4 Zn 3.14-3.21
Pa: 0.4107 0.0000 0.5000  4 Pa 2.95-3.05, 4 Zn 3.16
Pa: 0.8993 0.2505 0.5000  4 Pa 2.95-3.05, 4 Zn 2.99-3.01
Pa: 0.8993 0.7495 0.5000  4 Pa 2.95-3.05, 4 Zn 2.99-3.01
Zn: 0.4296 0.2935 0.0000  5 Zn 2.76-2.92
Zn: 0.9481 0.5000 0.0000  4 Zn 2.76-2.92, 4 Pa 2.99
Zn: 0.4296 0.7065 0.0000  5 Zn 2.76-2.92
Zn: 0.3966 0.5000 0.5000  4 Zn 2.83, 4 Pa 2.99-3.01

Density functional theory data (PBE) for a relaxed LaPrIn2Pd4 crystal.

As for the space group: P-6m2, No. 187. The total energy is -5.274 eV per atom.

Cell: 4.6706 4.6706 9.2157 Å, 90.00 90.00 120.00°
Closest atoms and distances in Å follow each position.
Sites, in units of the cell vectors:
In: 0.6667 0.3333 0.2465  6 Pd 2.79-2.81
In: 0.6667 0.3333 0.7535  6 Pd 2.79-2.81
La: 0.0000 0.0000 0.5000  8 Pd 3.07-3.11
Pd: 0.0000 0.0000 0.1672  3 In 2.79, 1 La 3.07, 4 Pd 3.08-3.09, 3 Pr 3.11
Pd: 0.3333 0.6667 0.3319  3 In 2.81, 1 Pr 3.06, 4 Pd 3.09-3.10, 3 La 3.11
Pd: 0.3333 0.6667 0.6681  3 In 2.81, 1 Pr 3.06, 4 Pd 3.09-3.10, 3 La 3.11
Pd: 0.0000 0.0000 0.8328  3 In 2.79, 1 La 3.07, 4 Pd 3.08-3.09, 3 Pr 3.11
Pr: 0.3333 0.6667 0.0000  8 Pd 3.06-3.11

Density functional theory data (PBE) for a relaxed Ho4GaC2S crystal.

As for the space group: P-6m2, No. 187. The total energy is -6.298 eV per atom.

Cell: 3.6285 3.6285 14.1035 Å, 90.00 90.00 120.00°
Closest atoms and distances in Å follow each position.
Sites, in units of the cell vectors:
C: 0.0000 0.0000 0.2296  6 Ho 2.48-2.50
C: 0.0000 0.0000 0.7704  6 Ho 2.48-2.50
Ga: 0.6667 0.3333 0.5000  6 Ho 3.25, 6 Ga 3.63
Ho: 0.6667 0.3333 0.1334  3 C 2.50
Ho: 0.3333 0.6667 0.3236  3 C 2.48
Ho: 0.3333 0.6667 0.6764  3 C 2.48
Ho: 0.6667 0.3333 0.8666  3 C 2.50
S: 0.3333 0.6667 0.0000  6 Ho 2.82

Density functional theory data (PBE) for a relaxed DyTmHg crystal.

As for the space group: Pnma, No. 62. As for the formation energy: -35.2 kJ/mol of atoms.

Cell: 7.0552 5.0333 9.1256 Å, 90.00 90.00 90.00°
Closest atoms and distances in Å follow each position.
Sites, in units of the cell vectors:
Dy: 0.9837 0.7500 0.1930  3 Hg 3.12-3.21, 1 Tm 3.47
Dy: 0.4837 0.7500 0.3070  3 Hg 3.12-3.21, 1 Tm 3.47
Dy: 0.5163 0.2500 0.6930  3 Hg 3.12-3.21, 1 Tm 3.47
Dy: 0.0163 0.2500 0.8070  3 Hg 3.12-3.21, 1 Tm 3.47
Hg: 0.2405 0.2500 0.1021  4 Tm 3.00-3.06, 3 Dy 3.12-3.21
Hg: 0.7405 0.2500 0.3979  4 Tm 3.00-3.06, 3 Dy 3.12-3.21
Hg: 0.2595 0.7500 0.6021  4 Tm 3.00-3.06, 3 Dy 3.12-3.21
Hg: 0.7595 0.7500 0.8979  4 Tm 3.00-3.06, 3 Dy 3.12-3.21
Tm: 0.6665 0.2500 0.0744  4 Hg 3.00-3.06
Tm: 0.1665 0.2500 0.4256  4 Hg 3.00-3.06
Tm: 0.8335 0.7500 0.5744  4 Hg 3.00-3.06
Tm: 0.3335 0.7500 0.9256  4 Hg 3.00-3.06